(1)
Compound: TaBeTcSn
Source: the Open Quantum Materials Database
Functional: PBE
Structure: relaxed

Values from the calculation:
Total DFT energy (no corrections) = -7.421 eV per atom

abc: 4.4566 4.4566 4.4566
angles: 60.00 60.00 60.00
Fractional coordinates of all 4 atoms:
Be (0.7500, 0.7500, 0.7500)
Sn (0.5000, 0.5000, 0.5000)
Ta (0.0000, 0.0000, 0.0000)
Tc (0.2500, 0.2500, 0.2500)

---

(2)
Compound: Na4MgInAu2
Source: the Open Quantum Materials Database
Functional: PBE
Structure: relaxed

Values from the calculation:
Total DFT energy (no corrections) = -2.225 eV per atom

abc: 4.9625 4.9625 6.9890
angles: 90.00 90.00 90.00
Fractional coordinates of all 8 atoms:
Au (0.0000, 0.5000, 0.2407)
Au (0.5000, 0.0000, 0.7593)
Na (0.0000, 0.0000, 0.0000)
Na (0.5000, 0.5000, 0.5000)
Na (0.5000, 0.0000, 0.2467)
Na (0.0000, 0.5000, 0.7533)
In (0.0000, 0.0000, 0.5000)
Mg (0.5000, 0.5000, 0.0000)

---

(3)
Compound: Co5ReNi2
Source: the Open Quantum Materials Database
Functional: PBE
Structure: relaxed

Values from the calculation:
Total DFT energy (no corrections) = -7.342 eV per atom

abc: 4.0819 5.0155 5.0155
angles: 60.30 90.00 90.00
Fractional coordinates of all 8 atoms:
Ni (0.0000, 0.3364, 0.3364)
Ni (0.5000, 0.6665, 0.6665)
Co (0.5000, 0.6668, 0.1665)
Co (0.0000, 0.3348, 0.8290)
Co (0.0000, 0.8349, 0.8349)
Co (0.0000, 0.8290, 0.3348)
Co (0.5000, 0.1665, 0.6668)
Re (0.5000, 0.1651, 0.1651)

---

(4)
Compound: SmAsPtO
Source: the Open Quantum Materials Database
Functional: PBE
Structure: relaxed

Values from the calculation:
Total DFT energy (no corrections) = -6.505 eV per atom

abc: 4.6835 4.2607 7.1700
angles: 90.00 90.00 90.00
Fractional coordinates of all 8 atoms:
As (0.0000, 0.2787, 0.2770)
As (0.0000, 0.7213, 0.7770)
O (0.5000, 0.7723, 0.4365)
O (0.5000, 0.2277, 0.9365)
Pt (0.0000, 0.2182, 0.9399)
Pt (0.0000, 0.7818, 0.4399)
Sm (0.5000, 0.2657, 0.6006)
Sm (0.5000, 0.7343, 0.1006)

---

> Among the records above, which one has the highest total DFT energy (no corrections)?

Na4MgInAu2